A plane-wave DFT calculation with PBE-GGA was carried out for TaNb2V9 after structural relaxation.

POSCAR file:
```
TaNb2V9
1.0
5.1314 0.0000 0.0000
2.5657 4.4439 0.0000
2.5657 1.4813 7.9490
V Nb Ta
9 2 1
direct
0.5830 0.5830 0.7532 V
0.4170 0.9192 0.2468 V
0.4170 0.4170 0.2468 V
0.3326 0.3326 0.0021 V
0.5000 0.5000 0.5000 V
0.6674 0.6674 0.9979 V
0.9192 0.4170 0.2468 V
0.5830 0.0808 0.7532 V
0.0808 0.5830 0.7532 V
0.1445 0.1445 0.5664 Nb
0.8555 0.8555 0.4336 Nb
0.0000 0.0000 0.0000 Ta
```

symmetry: No. 166
final energy: -9.41 eV/atom
energy relative to the elements: 1.13 eV/f.u.
V: 15.1 A^3/atom